1.
## Mn2GaPdI (PBE-GGA)

Data for an optimized crystal structure of Mn2GaPdI.

Output
Calculated total energy in eV/atom: -4.293

Cell: 4.845 4.845 5.633 Å, 90.00 90.00 90.00°
Space group P4/mmm (No. 123)
Unique sites:
Mn (0.000, 0.500, 0.000) x2
Ga (0.000, 0.000, 0.500) x1
Pd (0.500, 0.500, 0.500) x1
I (0.000, 0.000, 0.000) x1


2.
## YHf3F (PBE-GGA)

Data for an optimized crystal structure of YHf3F.

Output
Energy above the most stable polymorph in this dataset in eV/atom: 1.969

Cell: 5.255 5.255 5.255 Å, 90.00 90.00 90.00°
Space group Pm-3m (No. 221)
Unique sites:
Y (0.000, 0.000, 0.000) x1
Hf (0.000, 0.000, 0.500) x3
F (0.500, 0.500, 0.500) x1


3.
## NaSeBr (PBE-GGA)

Data for an optimized crystal structure of NaSeBr.

Output
Energy above the most stable polymorph in this dataset in eV/atom: 0.045

Cell: 10.894 3.776 8.085 Å, 90.00 99.27 90.00°
Space group C2/m (No. 12)
Unique sites:
Na (0.124, 0.000, 0.155) x4
Se (0.204, 0.000, 0.574) x4
Br (0.097, 0.500, 0.844) x4


4.
## Ac4Nd3Tm2 (PBE-GGA)

Data for an optimized crystal structure of Ac4Nd3Tm2.

Output
Energy of formation from the pure elements in eV per atom: 0.05

Cell: 11.742 5.400 11.314 Å, 90.00 106.83 90.00°
Space group C2/m (No. 12)
Unique sites:
Ac (0.002, 0.000, 0.331) x4
Ac (0.166, 0.500, 0.889) x4
Nd (0.000, 0.000, 0.000) x2
Nd (0.167, 0.500, 0.552) x4
Tm (0.171, 0.500, 0.227) x4


5.
## Zr2BeTe (PBE-GGA)

Data for an optimized crystal structure of Zr2BeTe.

Output
Energy above the most stable polymorph in this dataset in eV/atom: 0.377

Cell: 6.827 6.827 6.827 Å, 90.00 90.00 90.00°
Space group Fm-3m (No. 225)
Unique sites:
Zr (0.250, 0.250, 0.250) x8
Be (0.000, 0.000, 0.000) x4
Te (0.000, 0.000, 0.500) x4


6.
## La5Cd24 (PBE-GGA)

Data for an optimized crystal structure of La5Cd24.

Output
Energy of formation from the pure elements in eV per atom: -0.22

Cell: 11.315 11.315 11.315 Å, 90.00 90.00 90.00°
Space group I-43m (No. 217)
Unique sites:
La (0.000, 0.000, 0.000) x2
La (0.194, 0.194, 0.806) x8
Cd (0.024, 0.355, 0.355) x24
Cd (0.088, 0.088, 0.281) x24


7.
## ErPuCo10 (PBE-GGA)

Data for an optimized crystal structure of ErPuCo10.

Output
Energy of formation from the pure elements in eV per atom: -0.10

Cell: 3.956 4.897 8.430 Å, 90.00 90.00 90.00°
Space group Pmmm (No. 47)
Unique sites:
Er (0.000, 0.000, 0.000) x1
Pu (0.000, 0.500, 0.500) x1
Co (0.000, 0.000, 0.341) x2
Co (0.000, 0.500, 0.175) x2
Co (0.500, 0.000, 0.500) x1
Co (0.500, 0.248, 0.249) x4
Co (0.500, 0.500, 0.000) x1


8.
## RbHg6F8 (PBE-GGA)

Data for an optimized crystal structure of RbHg6F8.

Output
Calculated total energy in eV/atom: -2.502

Cell: 6.8869 6.8869 20.5440 Å, 90.00 90.00 120.00°
Space group R-3m (No. 166, hexagonal axes)
Unique sites:
Rb (0.0000, 0.0000, 0.0000) x3
Hg (0.0569, 0.5284, 0.9079) x18
F (0.0000, 0.0000, 0.3664) x6
F (0.0388, 0.5194, 0.7808) x18


What N(E_F) values result from the calculations? In sequence: 6.0, 14.9, 2.1, 27.4, 20.2, 38.8, 19.4, 6.8 states/eV/cell.